Record 1
LaCoI2O: relaxed, PBE+U.

abc: 5.813 5.813 3.713
angles: 90.00 90.00 90.00
Fractional coordinates of all 5 atoms:
La (0.000, 0.000, 0.000)
Co (0.500, 0.500, 0.500)
I (0.000, 0.500, 0.500)
I (0.500, 0.000, 0.500)
O (0.500, 0.500, 0.000)

## Properties
Its energy above the most stable polymorph in this dataset is 19.6 meV per atom. Its crystal system is tetragonal. The mass density is 6191 kg/m3.

=====

Record 2
LaCoI2O: relaxed, PBE+U.

abc: 6.549 6.549 4.307
angles: 90.00 90.00 90.00
Fractional coordinates of all 5 atoms:
La (0.000, 0.000, 0.000)
Co (0.500, 0.500, 0.500)
I (0.000, 0.500, 0.000)
I (0.500, 0.000, 0.000)
O (0.000, 0.000, 0.500)

## Properties
Its energy above the most stable polymorph in this dataset is 0.0 meV per atom. Its crystal system is tetragonal. The mass density is 4204 kg/m3.

=====

Record 3
LaCo2IO: relaxed, PBE+U.

abc: 4.434 4.434 6.458
angles: 90.00 90.00 90.00
Fractional coordinates of all 5 atoms:
La (0.000, 0.000, 0.000)
Co (0.000, 0.500, 0.500)
Co (0.500, 0.000, 0.500)
I (0.000, 0.000, 0.500)
O (0.500, 0.500, 0.000)

## Properties
Its crystal system is tetragonal. The mass density is 5227 kg/m3.

=====

Record 4
LaCoIO2: relaxed, PBE+U.

abc: 4.340 4.340 4.837
angles: 90.00 90.00 90.00
Fractional coordinates of all 5 atoms:
La (0.000, 0.000, 0.000)
Co (0.500, 0.500, 0.500)
I (0.500, 0.500, 0.000)
O (0.000, 0.500, 0.500)
O (0.500, 0.000, 0.500)

## Properties
Its energy above the most stable polymorph in this dataset is 0.0 meV per atom. Its crystal system is tetragonal. The mass density is 6502 kg/m3.

=====

Record 5
LaCoIO2: relaxed, PBE+U.

abc: 4.358 4.358 7.043
angles: 90.00 90.00 90.00
Fractional coordinates of all 5 atoms:
La (0.000, 0.000, 0.000)
Co (0.500, 0.500, 0.500)
I (0.000, 0.000, 0.500)
O (0.000, 0.500, 0.000)
O (0.500, 0.000, 0.000)

## Properties
Its energy above the most stable polymorph in this dataset is 9.8 meV per atom. Its crystal system is tetragonal. The mass density is 4429 kg/m3.

=====

Number 1: raw total energy -21.904 eV/cell, DOS at the Fermi energy 0.521 states/eV/atom. Number 2: raw total energy -22.002 eV/cell, DOS at the Fermi energy 0.946 states/eV/atom. Number 3: raw total energy -18.673 eV/cell, DOS at the Fermi energy 0.463 states/eV/atom. Number 4: raw total energy -25.941 eV/cell, DOS at the Fermi energy 0.157 states/eV/atom. Number 5: raw total energy -25.892 eV/cell, DOS at the Fermi energy 1.963 states/eV/atom.